(1)
A geometry-optimized KNd2Tc2N6 structure, computed with GGA-PBE.

Properties
total magnetization	0.00	μB/atom
formation energy without anion corrections	-0.457	eV/atom
crystal system	triclinic
V	221	Å³ per cell

```
data_KNd2Tc2N6
_chemical_formula_sum 'K1 Nd2 Tc2 N6'
_cell_length_a 6.2752
_cell_length_b 6.7469
_cell_length_c 6.8121
_cell_angle_alpha 96.57
_cell_angle_beta 114.41
_cell_angle_gamma 115.72
_symmetry_space_group_name_H-M 'P -1'
_symmetry_Int_Tables_number 2
loop_
_symmetry_equiv_pos_as_xyz
'x,y,z'
'-x,-y,-z'
loop_
_atom_site_label
_atom_site_fract_x
_atom_site_fract_y
_atom_site_fract_z
K1 0.0000 0.0000 0.0000
Nd1 0.3615 0.6714 0.2832
Tc1 0.2259 0.6698 0.6825
N1 0.1358 0.6693 0.9082
N2 0.2862 0.9075 0.5791
N3 0.4630 0.5818 0.7058
```



(2)
A geometry-optimized KNdVN3 structure, computed with GGA-PBE.

Properties
total magnetization	0.16	μB/atom
formation energy without anion corrections	-0.536	eV/atom
crystal system	monoclinic
V	402	Å³ per cell

```
data_KNdVN3
_chemical_formula_sum 'K4 Nd4 V4 N12'
_cell_length_a 13.6216
_cell_length_b 3.8563
_cell_length_c 7.9394
_cell_angle_alpha 90.00
_cell_angle_beta 105.66
_cell_angle_gamma 90.00
_symmetry_space_group_name_H-M 'C 1 2/m 1'
_symmetry_Int_Tables_number 12
loop_
_symmetry_equiv_pos_as_xyz
'x,y,z'
'-x,-y,-z'
'-x,y,-z'
'x,-y,z'
'x+1/2,y+1/2,z'
'-x+1/2,-y+1/2,-z'
'-x+1/2,y+1/2,-z'
'x+1/2,-y+1/2,z'
loop_
_atom_site_label
_atom_site_fract_x
_atom_site_fract_y
_atom_site_fract_z
K1 0.1410 0.0000 0.0664
Nd1 0.1582 0.0000 0.5844
V1 0.0059 0.5000 0.3127
N1 0.0099 0.0000 0.3200
N2 0.1313 0.5000 0.7843
N3 0.1552 0.5000 0.3666
```



(3)
A geometry-optimized KNdWN3 structure, computed with GGA-PBE.

Properties
total magnetization	0.00	μB/atom
formation energy without anion corrections	-0.571	eV/atom
crystal system	monoclinic
V	425	Å³ per cell

```
data_KNdWN3
_chemical_formula_sum 'K4 Nd4 W4 N12'
_cell_length_a 13.9097
_cell_length_b 3.9447
_cell_length_c 8.0184
_cell_angle_alpha 90.00
_cell_angle_beta 105.12
_cell_angle_gamma 90.00
_symmetry_space_group_name_H-M 'C 1 2/m 1'
_symmetry_Int_Tables_number 12
loop_
_symmetry_equiv_pos_as_xyz
'x,y,z'
'-x,-y,-z'
'-x,y,-z'
'x,-y,z'
'x+1/2,y+1/2,z'
'-x+1/2,-y+1/2,-z'
'-x+1/2,y+1/2,-z'
'x+1/2,-y+1/2,z'
loop_
_atom_site_label
_atom_site_fract_x
_atom_site_fract_y
_atom_site_fract_z
K1 0.1438 0.0000 0.0675
Nd1 0.1638 0.0000 0.5967
W1 0.0082 0.5000 0.3247
N1 0.0124 0.0000 0.3431
N2 0.1316 0.5000 0.7887
N3 0.1555 0.5000 0.3557
```



(4)
A geometry-optimized KNi3N structure, computed with GGA-PBE.

Properties
total magnetization	0.36	μB/atom
formation energy without anion corrections	0.505	eV/atom
crystal system	cubic
V	64	Å³ per cell

```
data_KNi3N
_chemical_formula_sum 'K1 Ni3 N1'
_cell_length_a 3.9989
_cell_length_b 3.9989
_cell_length_c 3.9989
_cell_angle_alpha 90.00
_cell_angle_beta 90.00
_cell_angle_gamma 90.00
_symmetry_space_group_name_H-M 'P m -3 m'
_symmetry_Int_Tables_number 221
_symmetry_space_group_name_Hall '-P 4 2 3'
loop_
_atom_site_label
_atom_site_fract_x
_atom_site_fract_y
_atom_site_fract_z
K1 0.0000 0.0000 0.0000
Ni1 0.0000 0.5000 0.5000
N1 0.5000 0.5000 0.5000
```



(5)
A geometry-optimized KNi3N structure, computed with GGA-PBE.

Properties
total magnetization	0.48	μB/atom
formation energy without anion corrections	3.100	eV/atom
crystal system	cubic
V	89	Å³ per cell

```
data_KNi3N
_chemical_formula_sum 'K1 Ni3 N1'
_cell_length_a 4.4659
_cell_length_b 4.4659
_cell_length_c 4.4659
_cell_angle_alpha 90.00
_cell_angle_beta 90.00
_cell_angle_gamma 90.00
_symmetry_space_group_name_H-M 'P m -3 m'
_symmetry_Int_Tables_number 221
_symmetry_space_group_name_Hall '-P 4 2 3'
loop_
_atom_site_label
_atom_site_fract_x
_atom_site_fract_y
_atom_site_fract_z
K1 0.0000 0.0000 0.0000
Ni1 0.0000 0.0000 0.5000
N1 0.5000 0.5000 0.5000
```



(6)
A geometry-optimized KNiN structure, computed with GGA-PBE.

Properties
total magnetization	0.00	μB/atom
formation energy without anion corrections	0.947	eV/atom
crystal system	trigonal
V	174	Å³ per cell

```
data_KNiN
_chemical_formula_sum 'K3 Ni3 N3'
_cell_length_a 4.8949
_cell_length_b 4.8949
_cell_length_c 8.3948
_cell_angle_alpha 90.00
_cell_angle_beta 90.00
_cell_angle_gamma 120.00
_symmetry_space_group_name_H-M 'R 3 m'
_symmetry_Int_Tables_number 160
_symmetry_space_group_name_Hall 'R 3 -2"'
loop_
_atom_site_label
_atom_site_fract_x
_atom_site_fract_y
_atom_site_fract_z
K1 0.0000 0.0000 0.0000
Ni1 0.0000 0.0000 0.5210
N1 0.0000 0.0000 0.3228
```



(7)
A geometry-optimized KNi2N structure, computed with GGA-PBE.

Properties
total magnetization	0.00	μB/atom
formation energy without anion corrections	0.053	eV/atom
crystal system	tetragonal
V	283	Å³ per cell

```
data_KNi2N
_chemical_formula_sum 'K4 Ni8 N4'
_cell_length_a 5.8434
_cell_length_b 5.8434
_cell_length_c 8.2856
_cell_angle_alpha 90.00
_cell_angle_beta 90.00
_cell_angle_gamma 90.00
_symmetry_space_group_name_H-M 'I 41/a m d'
_symmetry_Int_Tables_number 141
loop_
_symmetry_equiv_pos_as_xyz
'x,y,z'
'-x,-y,-z'
'-y+1/4,x+3/4,z+1/4'
'y+1/4,-x+3/4,-z+1/4'
'-x+1/2,-y,z+1/2'
'x+1/2,y,-z+1/2'
'y+1/4,-x+1/4,z+3/4'
'-y+1/4,x+1/4,-z+3/4'
'x,-y,-z'
'-x,y,z'
'-y+1/4,-x+1/4,-z+3/4'
'y+1/4,x+1/4,z+3/4'
'-x+1/2,y,-z+1/2'
'x+1/2,-y,z+1/2'
'y+1/4,x+3/4,-z+1/4'
'-y+1/4,-x+3/4,z+1/4'
'x+1/2,y+1/2,z+1/2'
'-x+1/2,-y+1/2,-z+1/2'
'-y+3/4,x+1/4,z+3/4'
'y+3/4,-x+1/4,-z+3/4'
'-x,-y+1/2,z'
'x,y+1/2,-z'
'y+3/4,-x+3/4,z+1/4'
'-y+3/4,x+3/4,-z+1/4'
'x+1/2,-y+1/2,-z+1/2'
'-x+1/2,y+1/2,z+1/2'
'-y+3/4,-x+3/4,-z+1/4'
'y+3/4,x+3/4,z+1/4'
'-x,y+1/2,-z'
'x,-y+1/2,z'
'y+3/4,x+1/4,-z+3/4'
'-y+3/4,-x+1/4,z+3/4'
loop_
_atom_site_label
_atom_site_fract_x
_atom_site_fract_y
_atom_site_fract_z
K1 0.0000 0.2500 0.3750
Ni1 0.0000 0.0000 0.0000
N1 0.0000 0.2500 0.8750
```



(8)
A geometry-optimized KNi2N structure, computed with GGA-PBE.

Properties
total magnetization	0.00	μB/atom
formation energy without anion corrections	0.671	eV/atom
crystal system	trigonal
V	186	Å³ per cell

```
data_KNi2N
_chemical_formula_sum 'K3 Ni6 N3'
_cell_length_a 3.0284
_cell_length_b 3.0284
_cell_length_c 23.3578
_cell_angle_alpha 90.00
_cell_angle_beta 90.00
_cell_angle_gamma 120.00
_symmetry_space_group_name_H-M 'R -3 m'
_symmetry_Int_Tables_number 166
_symmetry_space_group_name_Hall '-R 3 2"'
loop_
_atom_site_label
_atom_site_fract_x
_atom_site_fract_y
_atom_site_fract_z
K1 0.0000 0.0000 0.0000
Ni1 0.0000 0.0000 0.1265
N1 0.0000 0.0000 0.5000
```



(9)
A geometry-optimized K3NiN structure, computed with GGA-PBE.

Properties
total magnetization	0.40	μB/atom
formation energy without anion corrections	0.829	eV/atom
crystal system	cubic
V	161	Å³ per cell

```
data_K3NiN
_chemical_formula_sum 'K3 Ni1 N1'
_cell_length_a 5.4411
_cell_length_b 5.4411
_cell_length_c 5.4411
_cell_angle_alpha 90.00
_cell_angle_beta 90.00
_cell_angle_gamma 90.00
_symmetry_space_group_name_H-M 'P m -3 m'
_symmetry_Int_Tables_number 221
_symmetry_space_group_name_Hall '-P 4 2 3'
loop_
_atom_site_label
_atom_site_fract_x
_atom_site_fract_y
_atom_site_fract_z
K1 0.0000 0.0000 0.5000
Ni1 0.5000 0.5000 0.5000
N1 0.0000 0.0000 0.0000
```



(10)
A geometry-optimized KNiN structure, computed with GGA-PBE.

Properties
total magnetization	0.21	μB/atom
formation energy without anion corrections	0.247	eV/atom
crystal system	hexagonal
V	46	Å³ per cell

```
data_KNiN
_chemical_formula_sum 'K1 Ni1 N1'
_cell_length_a 3.2732
_cell_length_b 3.2732
_cell_length_c 4.9498
_cell_angle_alpha 90.00
_cell_angle_beta 90.00
_cell_angle_gamma 120.00
_symmetry_space_group_name_H-M 'P -6 m 2'
_symmetry_Int_Tables_number 187
_symmetry_space_group_name_Hall 'P -6 2'
loop_
_atom_site_label
_atom_site_fract_x
_atom_site_fract_y
_atom_site_fract_z
K1 0.0000 0.0000 0.0000
Ni1 0.6667 0.3333 0.5000
N1 0.3333 0.6667 0.5000
```



(11)
A geometry-optimized KNiN structure, computed with GGA-PBE.

Properties
total magnetization	0.00	μB/atom
formation energy without anion corrections	0.037	eV/atom
crystal system	orthorhombic
V	220	Å³ per cell

```
data_KNiN
_chemical_formula_sum 'K4 Ni4 N4'
_cell_length_a 10.4548
_cell_length_b 3.4637
_cell_length_c 6.0709
_cell_angle_alpha 90.00
_cell_angle_beta 90.00
_cell_angle_gamma 90.00
_symmetry_space_group_name_H-M 'P n m a'
_symmetry_Int_Tables_number 62
loop_
_symmetry_equiv_pos_as_xyz
'x,y,z'
'-x,-y,-z'
'-x+1/2,-y,z+1/2'
'x+1/2,y,-z+1/2'
'x+1/2,-y+1/2,-z+1/2'
'-x+1/2,y+1/2,z+1/2'
'-x,y+1/2,-z'
'x,-y+1/2,z'
loop_
_atom_site_label
_atom_site_fract_x
_atom_site_fract_y
_atom_site_fract_z
K1 0.1584 0.2500 0.0712
Ni1 0.0535 0.2500 0.5887
N1 0.0724 0.7500 0.6661
```



(12)
A geometry-optimized KNiN structure, computed with GGA-PBE.

Properties
total magnetization	0.00	μB/atom
formation energy without anion corrections	0.271	eV/atom
crystal system	monoclinic
V	124	Å³ per cell

```
data_KNiN
_chemical_formula_sum 'K2 Ni2 N2'
_cell_length_a 8.9172
_cell_length_b 3.0867
_cell_length_c 4.5123
_cell_angle_alpha 90.00
_cell_angle_beta 90.32
_cell_angle_gamma 90.00
_symmetry_space_group_name_H-M 'C 1 m 1'
_symmetry_Int_Tables_number 8
loop_
_symmetry_equiv_pos_as_xyz
'x,y,z'
'x,-y,z'
'x+1/2,y+1/2,z'
'x+1/2,-y+1/2,z'
loop_
_atom_site_label
_atom_site_fract_x
_atom_site_fract_y
_atom_site_fract_z
K1 0.0000 0.0000 0.0000
Ni1 0.2428 0.5000 0.4819
N1 0.3021 0.0000 0.3679
```